No. 1
DFT (GGA-PBE) results for Sc2InBr after structural relaxation.

abc: 6.4804 6.4804 6.4804
angles: 149.96 135.32 54.78
Closest atoms and distances in Å follow each position.
Fractional coordinates of all 4 atoms:
Br: 0.5358 0.5358 0.0000  6 Sc 2.79-3.09
Sc: 0.9658 0.9658 0.0000  4 Br 3.09, 4 Sc 3.20-3.36, 2 In 3.35
Sc: 0.7296 0.2296 0.5000  2 Br 2.79, 4 In 3.02
In: 0.2688 0.7688 0.5000  6 Sc 3.02-3.35, 2 In 3.36

Calculated values
Energy relative to the elements, uncorrected: -481 meV/atom
Space group: No. 44
E above lowest polymorph: 129 meV per atom

No. 2
DFT (GGA-PBE) results for LaMg2Ru after structural relaxation.

abc: 3.2672 4.5123 5.7922
angles: 90.00 90.00 90.00
Closest atoms and distances in Å follow each position.
Fractional coordinates of all 4 atoms:
Mg: 0.0000 0.0000 0.4673  1 Mg 2.52
Mg: 0.0000 0.0000 0.0327  1 Mg 2.52
La: 0.5000 0.5000 0.7500  2 Ru 2.90, 8 Mg 3.23
Ru: 0.5000 0.5000 0.2500  2 La 2.90, 8 Mg 3.06

Calculated values
Space group: No. 47
E_form: 37 kJ/mol of formula units

No. 3
DFT (GGA-PBE) results for OsPbAu after structural relaxation.

abc: 5.6945 5.6945 5.6945
angles: 151.07 134.69 54.65
Closest atoms and distances in Å follow each position.
Fractional coordinates of all 3 atoms:
Os: 0.3719 0.3719 0.0000  4 Au 2.76, 2 Os 2.84, 1 Pb 3.00
Au: 0.9601 0.9601 0.0000  4 Os 2.76, 2 Au 2.84, 1 Pb 2.96
Pb: 0.6680 0.6680 0.0000  2 Pb 2.84, 1 Au 2.96, 1 Os 3.00

Calculated values
Space group: No. 44
E above lowest polymorph: 119 meV per atom
E_form: 261 kJ/mol of formula units

No. 4
DFT (GGA-PBE) results for NdErO4 after structural relaxation.

abc: 3.9068 3.8723 6.3660
angles: 96.53 90.00 120.30
Closest atoms and distances in Å follow each position.
Fractional coordinates of all 6 atoms:
Er: 0.0589 0.1178 0.0205  7 O 2.26-2.45
O: 0.3991 0.7983 0.0949  3 Er 2.26-2.31, 1 Nd 2.43
O: 0.0994 0.1988 0.3798  1 Er 2.27, 3 Nd 2.32-2.33
O: 0.8332 0.6664 0.6952  1 O 1.51
O: 0.6631 0.3262 0.8291  1 O 1.51
Nd: 0.4463 0.8925 0.4805  7 O 2.32-2.55

Calculated values
Energy relative to the elements, uncorrected: -2906 meV/atom
Space group: No. 8

no.,DOS at the Fermi energy (states/eV per atom)
1,0.579
2,0.603
3,1.084
4,0.000